The following is a DFT calculation (PBE) of a geometry-optimized Li4Tl3Pd2 structure.

Values from the calculation:
Theoretical density in g/cm³: 8.71
DFT formation energy in eV per atom: -0.290
Raw total energy in eV/atom: -3.084

Structure (CIF):
```
data_Li4Tl3Pd2
_chemical_formula_sum 'Li4 Tl3 Pd2'
_cell_length_a 4.8361
_cell_length_b 5.2341
_cell_length_c 7.4888
_cell_angle_alpha 74.91
_cell_angle_beta 84.91
_cell_angle_gamma 62.88
_space_group_name_H-M_alt 'P -1'
_space_group_IT_number 2
loop_
_space_group_symop_operation_xyz
'x,y,z'
'-x,-y,-z'
loop_
_atom_site_label
_atom_site_type_symbol
_atom_site_fract_x
_atom_site_fract_y
_atom_site_fract_z
_atom_site_occupancy
Li1 Li 0.1507 0.2530 0.1468 1
Li2 Li 0.3269 0.8544 0.5020 1
Tl1 Tl 0.0000 0.5000 0.5000 1
Tl2 Tl 0.4666 0.6228 0.1717 1
Pd1 Pd 0.2027 0.0328 0.8211 1
```

The following is a DFT calculation (PBE) of a geometry-optimized Li7Tl2Pd structure.

Values from the calculation:
Theoretical density in g/cm³: 5.25
DFT formation energy in eV per atom: -0.172
Raw total energy in eV/atom: -2.505

Structure (CIF):
```
data_Li7Tl2Pd
_chemical_formula_sum 'Li7 Tl2 Pd1'
_cell_length_a 4.4862
_cell_length_b 4.4862
_cell_length_c 10.2386
_cell_angle_alpha 90.00
_cell_angle_beta 90.00
_cell_angle_gamma 120.00
_space_group_name_H-M_alt 'P 3 m 1'
_space_group_IT_number 156
loop_
_space_group_symop_operation_xyz
'x,y,z'
'-y,x-y,z'
'-x+y,-x,z'
'-y,-x,z'
'-x+y,y,z'
'x,x-y,z'
loop_
_atom_site_label
_atom_site_type_symbol
_atom_site_fract_x
_atom_site_fract_y
_atom_site_fract_z
_atom_site_occupancy
Li1 Li 0.0000 0.0000 0.0000 1
Li2 Li 0.0000 0.0000 0.2268 1
Li3 Li 0.0000 0.0000 0.4688 1
Li4 Li 0.3333 0.6667 0.0664 1
Li5 Li 0.3333 0.6667 0.6474 1
Li6 Li 0.6667 0.3333 0.5222 1
Li7 Li 0.6667 0.3333 0.8828 1
Tl1 Tl 0.0000 0.0000 0.7365 1
Tl2 Tl 0.3333 0.6667 0.3460 1
Pd1 Pd 0.6667 0.3333 0.1790 1
```

The following is a DFT calculation (PBE) of a geometry-optimized Li3Tl3Pd5 structure.

Values from the calculation:
Theoretical density in g/cm³: 10.25
DFT formation energy in eV per atom: -0.306
Raw total energy in eV/atom: -3.834

Structure (CIF):
```
data_Li3Tl3Pd5
_chemical_formula_sum 'Li3 Tl3 Pd5'
_cell_length_a 4.9394
_cell_length_b 6.4378
_cell_length_c 6.5349
_cell_angle_alpha 107.24
_cell_angle_beta 104.44
_cell_angle_gamma 95.60
_space_group_name_H-M_alt 'P 1'
_space_group_IT_number 1
loop_
_space_group_symop_operation_xyz
'x,y,z'
loop_
_atom_site_label
_atom_site_type_symbol
_atom_site_fract_x
_atom_site_fract_y
_atom_site_fract_z
_atom_site_occupancy
Li1 Li 0.0000 0.0000 0.0000 1
Li2 Li 0.0734 0.8022 0.3407 1
Li3 Li 0.1788 0.5882 0.7177 1
Tl1 Tl 0.4083 0.0391 0.7864 1
Tl2 Tl 0.7263 0.5437 0.8849 1
Tl3 Tl 0.8105 0.3374 0.2871 1
Pd1 Pd 0.2562 0.4356 0.0806 1
Pd2 Pd 0.3419 0.2443 0.4454 1
Pd3 Pd 0.5329 0.8865 0.1650 1
Pd4 Pd 0.6084 0.7002 0.5139 1
Pd5 Pd 0.8800 0.1393 0.6312 1
```

The following is a DFT calculation (PBE) of a geometry-optimized LiTl3Pd structure.

Values from the calculation:
Theoretical density in g/cm³: 10.70
DFT formation energy in eV per atom: -0.183
Raw total energy in eV/atom: -3.025

Structure (CIF):
```
data_LiTl3Pd
_chemical_formula_sum 'Li4 Tl12 Pd4'
_cell_length_a 8.2762
_cell_length_b 5.8689
_cell_length_c 9.6940
_cell_angle_alpha 90.00
_cell_angle_beta 106.77
_cell_angle_gamma 90.00
_space_group_name_H-M_alt 'P 1 21/c 1'
_space_group_IT_number 14
loop_
_space_group_symop_operation_xyz
'x,y,z'
'-x,-y,-z'
'-x,y+1/2,-z+1/2'
'x,-y+1/2,z+1/2'
loop_
_atom_site_label
_atom_site_type_symbol
_atom_site_fract_x
_atom_site_fract_y
_atom_site_fract_z
_atom_site_occupancy
Li1 Li 0.1337 0.2425 0.1584 1
Tl1 Tl 0.0924 0.7407 0.1485 1
Tl2 Tl 0.2994 0.0161 0.4507 1
Tl3 Tl 0.4984 0.5093 0.6723 1
Pd1 Pd 0.1998 0.5172 0.4247 1
```

The following is a DFT calculation (PBE) of a geometry-optimized Li5Tl2Pd structure.

Values from the calculation:
Theoretical density in g/cm³: 5.53
DFT formation energy in eV per atom: -0.188
Raw total energy in eV/atom: -2.625

Structure (CIF):
```
data_Li5Tl2Pd
_chemical_formula_sum 'Li10 Tl4 Pd2'
_cell_length_a 4.5132
_cell_length_b 4.5132
_cell_length_c 18.7173
_cell_angle_alpha 90.00
_cell_angle_beta 90.00
_cell_angle_gamma 120.00
_space_group_name_H-M_alt 'P 63/m m c'
_space_group_IT_number 194
_space_group_name_Hall '-P 6c 2c'
loop_
_atom_site_label
_atom_site_type_symbol
_atom_site_fract_x
_atom_site_fract_y
_atom_site_fract_z
_atom_site_occupancy
Li1 Li 0.0000 0.0000 0.1760 1
Li2 Li 0.3333 0.6667 0.0458 1
Li3 Li 0.3333 0.6667 0.2500 1
Tl1 Tl 0.3333 0.6667 0.6061 1
Pd1 Pd 0.3333 0.6667 0.7500 1
```

The following is a DFT calculation (PBE) of a geometry-optimized LiTl2Pd structure.

Values from the calculation:
Theoretical density in g/cm³: 10.77
DFT formation energy in eV per atom: -0.205
Raw total energy in eV/atom: -3.165

Structure (CIF):
```
data_LiTl2Pd
_chemical_formula_sum 'Li1 Tl2 Pd1'
_cell_length_a 3.5377
_cell_length_b 3.5377
_cell_length_c 6.4328
_cell_angle_alpha 90.00
_cell_angle_beta 90.00
_cell_angle_gamma 90.00
_space_group_name_H-M_alt 'P 4/m m m'
_space_group_IT_number 123
_space_group_name_Hall '-P 4 2'
loop_
_atom_site_label
_atom_site_type_symbol
_atom_site_fract_x
_atom_site_fract_y
_atom_site_fract_z
_atom_site_occupancy
Li1 Li 0.0000 0.0000 0.0000 1
Tl1 Tl 0.5000 0.5000 0.2540 1
Pd1 Pd 0.0000 0.0000 0.5000 1
```

The following is a DFT calculation (PBE) of a geometry-optimized Li7TlPd4 structure.

Values from the calculation:
Theoretical density in g/cm³: 6.06
DFT formation energy in eV per atom: -0.202
Raw total energy in eV/atom: -3.246

Structure (CIF):
```
data_Li7TlPd4
_chemical_formula_sum 'Li14 Tl2 Pd8'
_cell_length_a 9.6462
_cell_length_b 4.7920
_cell_length_c 9.1414
_cell_angle_alpha 90.00
_cell_angle_beta 118.35
_cell_angle_gamma 90.00
_space_group_name_H-M_alt 'C 1 2/m 1'
_space_group_IT_number 12
loop_
_space_group_symop_operation_xyz
'x,y,z'
'-x,-y,-z'
'-x,y,-z'
'x,-y,z'
'x+1/2,y+1/2,z'
'-x+1/2,-y+1/2,-z'
'-x+1/2,y+1/2,-z'
'x+1/2,-y+1/2,z'
loop_
_atom_site_label
_atom_site_type_symbol
_atom_site_fract_x
_atom_site_fract_y
_atom_site_fract_z
_atom_site_occupancy
Li1 Li 0.0000 0.0000 0.0000 1
Li2 Li 0.1128 0.5000 0.4522 1
Li3 Li 0.1635 0.0000 0.6256 1
Li4 Li 0.1916 0.0000 0.9063 1
Tl1 Tl 0.0000 0.5000 0.0000 1
Pd1 Pd 0.1008 0.0000 0.3074 1
Pd2 Pd 0.1612 0.5000 0.7822 1
```

The following is a DFT calculation (PBE) of a geometry-optimized Li4Tl4Pd3 structure.

Values from the calculation:
Theoretical density in g/cm³: 9.33
DFT formation energy in eV per atom: -0.176
Raw total energy in eV/atom: -3.149

Structure (CIF):
```
data_Li4Tl4Pd3
_chemical_formula_sum 'Li8 Tl8 Pd6'
_cell_length_a 3.0189
_cell_length_b 4.5549
_cell_length_c 30.1536
_cell_angle_alpha 90.00
_cell_angle_beta 90.00
_cell_angle_gamma 90.00
_space_group_name_H-M_alt 'I m m m'
_space_group_IT_number 71
_space_group_name_Hall '-I 2 2'
loop_
_atom_site_label
_atom_site_type_symbol
_atom_site_fract_x
_atom_site_fract_y
_atom_site_fract_z
_atom_site_occupancy
Li1 Li 0.0000 0.0000 0.0408 1
Li2 Li 0.0000 0.5000 0.1701 1
Tl1 Tl 0.0000 0.0000 0.2186 1
Tl2 Tl 0.0000 0.5000 0.0845 1
Pd1 Pd 0.0000 0.0000 0.5000 1
Pd2 Pd 0.0000 0.5000 0.3702 1
```

The following is a DFT calculation (PBE) of a geometry-optimized Li5Tl2Pd structure.

Values from the calculation:
Theoretical density in g/cm³: 6.45
DFT formation energy in eV per atom: -0.263
Raw total energy in eV/atom: -2.700

Structure (CIF):
```
data_Li5Tl2Pd
_chemical_formula_sum 'Li10 Tl4 Pd2'
_cell_length_a 4.8335
_cell_length_b 4.8335
_cell_length_c 12.1201
_cell_angle_alpha 90.00
_cell_angle_beta 90.00
_cell_angle_gamma 90.00
_space_group_name_H-M_alt 'I 4/m m m'
_space_group_IT_number 139
_space_group_name_Hall '-I 4 2'
loop_
_atom_site_label
_atom_site_type_symbol
_atom_site_fract_x
_atom_site_fract_y
_atom_site_fract_z
_atom_site_occupancy
Li1 Li 0.0000 0.0000 0.0000 1
Li2 Li 0.0000 0.5000 0.1157 1
Tl1 Tl 0.0000 0.0000 0.2574 1
Pd1 Pd 0.0000 0.0000 0.5000 1
```

The following is a DFT calculation (PBE) of a geometry-optimized Li5Tl5Pd2 structure.

Values from the calculation:
Theoretical density in g/cm³: 8.44
DFT formation energy in eV per atom: -0.263
Raw total energy in eV/atom: -2.911

Structure (CIF):
```
data_Li5Tl5Pd2
_chemical_formula_sum 'Li10 Tl10 Pd4'
_cell_length_a 8.2823
_cell_length_b 4.7418
_cell_length_c 13.0162
_cell_angle_alpha 90.00
_cell_angle_beta 102.30
_cell_angle_gamma 90.00
_space_group_name_H-M_alt 'C 1 2/m 1'
_space_group_IT_number 12
loop_
_space_group_symop_operation_xyz
'x,y,z'
'-x,-y,-z'
'-x,y,-z'
'x,-y,z'
'x+1/2,y+1/2,z'
'-x+1/2,-y+1/2,-z'
'-x+1/2,y+1/2,-z'
'x+1/2,-y+1/2,z'
loop_
_atom_site_label
_atom_site_type_symbol
_atom_site_fract_x
_atom_site_fract_y
_atom_site_fract_z
_atom_site_occupancy
Li1 Li 0.0000 0.0000 0.0000 1
Li2 Li 0.2015 0.0000 0.6039 1
Li3 Li 0.2238 0.5000 0.1755 1
Tl1 Tl 0.0000 0.5000 0.5000 1
Tl2 Tl 0.0982 0.0000 0.2958 1
Tl3 Tl 0.1452 0.5000 0.9334 1
Pd1 Pd 0.0745 0.5000 0.7162 1
```

The following is a DFT calculation (PBE) of a geometry-optimized Li2TlPd structure.

Values from the calculation:
Theoretical density in g/cm³: 8.05
DFT formation energy in eV per atom: -0.347
Raw total energy in eV/atom: -3.193

Structure (CIF):
```
data_Li2TlPd
_chemical_formula_sum 'Li2 Tl1 Pd1'
_cell_length_a 4.1138
_cell_length_b 4.1138
_cell_length_c 3.9567
_cell_angle_alpha 90.00
_cell_angle_beta 90.00
_cell_angle_gamma 90.00
_space_group_name_H-M_alt 'P 4/m m m'
_space_group_IT_number 123
_space_group_name_Hall '-P 4 2'
loop_
_atom_site_label
_atom_site_type_symbol
_atom_site_fract_x
_atom_site_fract_y
_atom_site_fract_z
_atom_site_occupancy
Li1 Li 0.0000 0.5000 0.0000 1
Tl1 Tl 0.0000 0.0000 0.5000 1
Pd1 Pd 0.5000 0.5000 0.5000 1
```

The following is a DFT calculation (PBE) of a geometry-optimized Li2TlPd structure.

Values from the calculation:
Theoretical density in g/cm³: 7.31
DFT formation energy in eV per atom: -0.172
Raw total energy in eV/atom: -3.018

Structure (CIF):
```
data_Li2TlPd
_chemical_formula_sum 'Li6 Tl3 Pd3'
_cell_length_a 3.1517
_cell_length_b 3.1517
_cell_length_c 25.7187
_cell_angle_alpha 90.00
_cell_angle_beta 90.00
_cell_angle_gamma 120.00
_space_group_name_H-M_alt 'R 3 m'
_space_group_IT_number 160
_space_group_name_Hall 'R 3 -2"'
loop_
_atom_site_label
_atom_site_type_symbol
_atom_site_fract_x
_atom_site_fract_y
_atom_site_fract_z
_atom_site_occupancy
Li1 Li 0.0000 0.0000 0.0000 1
Li2 Li 0.0000 0.0000 0.1905 1
Tl1 Tl 0.0000 0.0000 0.4290 1
Pd1 Pd 0.0000 0.0000 0.5951 1
```

Number 1: total magnetization 0.000 Bohr magnetons per cell, DOS(E_F) 0.280 states/eV per atom. Number 2: total magnetization 0.000 Bohr magnetons per cell, DOS(E_F) 0.280 states/eV per atom. Number 3: total magnetization 0.000 Bohr magnetons per cell, DOS(E_F) 0.365 states/eV per atom. Number 4: total magnetization 0.000 Bohr magnetons per cell, DOS(E_F) 0.514 states/eV per atom. Number 5: total magnetization 0.000 Bohr magnetons per cell, DOS(E_F) 0.302 states/eV per atom. Number 6: total magnetization 0.000 Bohr magnetons per cell, DOS(E_F) 0.214 states/eV per atom. Number 7: total magnetization 0.000 Bohr magnetons per cell, DOS(E_F) 0.331 states/eV per atom. Number 8: total magnetization 0.000 Bohr magnetons per cell, DOS(E_F) 0.439 states/eV per atom. Number 9: total magnetization 0.000 Bohr magnetons per cell, DOS(E_F) 0.289 states/eV per atom. Number 10: total magnetization 0.000 Bohr magnetons per cell, DOS(E_F) 0.507 states/eV per atom. Number 11: total magnetization 0.000 Bohr magnetons per cell, DOS(E_F) 0.250 states/eV per atom. Number 12: total magnetization 0.000 Bohr magnetons per cell, DOS(E_F) 0.654 states/eV per atom.